# Dy2YHoSe6 (PBE, optimized geometry)
data_Dy2YHoSe6
_chemical_formula_sum 'Dy2 Y1 Ho1 Se6'
_space_group_name_H-M_alt 'P 1'
_space_group_IT_number 1
_cell_length_a 7.198
_cell_length_b 7.198
_cell_length_c 7.698
_cell_angle_alpha 62.12
_cell_angle_beta 62.12
_cell_angle_gamma 60.00
loop_
_space_group_symop_operation_xyz
'x,y,z'
loop_
_atom_site_label
_atom_site_type_symbol
_atom_site_fract_x
_atom_site_fract_y
_atom_site_fract_z
_atom_site_occupancy
Se1 Se 0.612 0.220 0.252 1
Se2 Se 0.220 0.916 0.252 1
Se3 Se 0.110 0.418 0.751 1
Se4 Se 0.721 0.110 0.751 1
Se5 Se 0.418 0.721 0.751 1
Se6 Se 0.916 0.612 0.252 1
Dy1 Dy 0.014 0.014 0.957 1
Dy2 Dy 0.514 0.514 0.458 1
Y1 Y 0.318 0.318 0.045 1
Ho1 Ho 0.818 0.818 0.545 1
# SG: R3
# Electronic total energy, eV/cell: -59.7
# DOS at the Fermi energy, states/eV/atom: 0.000



# Dy3YHo4Se8 (PBE, optimized geometry)
data_Dy3YHo4Se8
_chemical_formula_sum 'Dy3 Y1 Ho4 Se8'
_space_group_name_H-M_alt 'P 1'
_space_group_IT_number 1
_cell_length_a 8.132
_cell_length_b 8.138
_cell_length_c 8.132
_cell_angle_alpha 119.98
_cell_angle_beta 120.00
_cell_angle_gamma 90.00
loop_
_space_group_symop_operation_xyz
'x,y,z'
loop_
_atom_site_label
_atom_site_type_symbol
_atom_site_fract_x
_atom_site_fract_y
_atom_site_fract_z
_atom_site_occupancy
Se1 Se 0.749 0.248 0.999 1
Se2 Se 0.251 0.753 0.502 1
Se3 Se 0.751 0.752 0.501 1
Se4 Se 0.249 0.248 0.499 1
Se5 Se 0.750 0.752 0.001 1
Se6 Se 0.251 0.752 0.001 1
Se7 Se 0.250 0.248 0.999 1
Se8 Se 0.749 0.247 0.498 1
Y1 Y 0.000 0.500 0.000 1
Ho1 Ho 0.000 0.000 0.000 1
Ho2 Ho 0.500 0.000 0.000 1
Ho3 Ho 0.500 0.000 0.500 1
Ho4 Ho 0.000 0.000 0.500 1
Dy1 Dy 0.500 0.500 0.500 1
Dy2 Dy 0.500 0.500 0.000 1
Dy3 Dy 0.000 0.500 0.500 1
# SG: R-3m
# Electronic total energy, eV/cell: -94.2
# DOS at the Fermi energy, states/eV/atom: 0.655



# DyHoSi3 (PBE, optimized geometry)
data_DyHoSi3
_chemical_formula_sum 'Dy2 Ho2 Si6'
_space_group_name_H-M_alt 'P 1'
_space_group_IT_number 1
_cell_length_a 3.937
_cell_length_b 4.114
_cell_length_c 12.417
_cell_angle_alpha 99.53
_cell_angle_beta 90.00
_cell_angle_gamma 90.00
loop_
_space_group_symop_operation_xyz
'x,y,z'
loop_
_atom_site_label
_atom_site_type_symbol
_atom_site_fract_x
_atom_site_fract_y
_atom_site_fract_z
_atom_site_occupancy
Ho1 Ho 0.750 0.203 0.406 1
Ho2 Ho 0.250 0.797 0.594 1
Si1 Si 0.750 0.619 0.239 1
Si2 Si 0.250 0.678 0.356 1
Si3 Si 0.750 0.322 0.644 1
Si4 Si 0.250 0.381 0.761 1
Si5 Si 0.250 0.475 0.950 1
Si6 Si 0.750 0.525 0.050 1
Dy1 Dy 0.250 0.070 0.139 1
Dy2 Dy 0.750 0.930 0.861 1
# SG: Cmcm
# Electronic total energy, eV/cell: -57.6
# DOS at the Fermi energy, states/eV/atom: 0.343



> Which of these has the highest DOS at the Fermi energy?

Dy3YHo4Se8